# ZnPtAu, optimized geometry, DFT GGA-PBE
# E_form ... -0.30 eV/atom
data_ZnPtAu
_chemical_formula_sum 'Zn4 Pt4 Au4'
_symmetry_space_group_name_H-M 'C m c 21'
_symmetry_Int_Tables_number 36
_cell_length_a 2.9622
_cell_length_b 13.7895
_cell_length_c 4.6634
_cell_angle_alpha 90.00
_cell_angle_beta 90.00
_cell_angle_gamma 90.00
loop_
_symmetry_equiv_pos_as_xyz
'x,y,z'
'-x,-y,z+1/2'
'-x,y,z'
'x,-y,z+1/2'
'x+1/2,y+1/2,z'
'-x+1/2,-y+1/2,z+1/2'
'-x+1/2,y+1/2,z'
'x+1/2,-y+1/2,z+1/2'
loop_
_atom_site_label
_atom_site_type_symbol
_atom_site_fract_x
_atom_site_fract_y
_atom_site_fract_z
_atom_site_occupancy
Zn1 Zn 0.0000 0.0836 0.0000 1
Pt1 Pt 0.0000 0.4273 0.0037 1
Au1 Au 0.0000 0.2514 0.3356 1